PBE with a Hubbard U Na5LiFe2P2C2O14, relaxed; N(E_F) = 0.0 states/eV/cell; size of the total moment = 12.00 μB/cell; energy = -6.449 eV per atom; offset from the most stable computed form = 1.474 eV/f.u.
1.0
6.636 0.000 0.000
-0.250 8.917 0.000
-0.078 -0.192 10.443
Na Li Fe P C O
10 2 4 4 4 28
Cartesian
-0.079 2.266 3.940
-0.154 6.547 1.312
1.705 0.682 1.221
1.668 0.637 6.471
3.206 2.258 3.935
3.101 6.467 6.508
4.640 8.088 3.973
4.603 8.044 9.223
6.462 2.178 9.131
6.387 6.459 6.504
2.895 2.479 9.344
3.412 6.246 1.099
1.441 5.648 9.325
1.507 5.704 4.039
4.800 3.022 6.404
4.866 3.077 1.118
1.497 3.588 6.806
1.586 3.711 1.527
4.722 5.014 8.916
4.810 5.137 3.637
1.407 8.335 3.784
1.412 8.301 9.018
4.896 0.424 1.426
4.901 0.390 6.660
0.255 2.708 6.473
0.304 2.950 1.076
1.542 0.705 3.708
1.420 4.959 6.104
1.332 7.624 10.133
1.458 7.609 2.709
1.598 3.815 3.081
1.479 7.749 4.951
1.577 3.790 8.364
1.472 7.629 7.904
1.681 0.681 9.032
1.686 5.135 0.921
2.732 2.767 6.336
2.781 2.818 1.040
3.526 5.907 9.403
3.576 5.959 4.108
4.621 3.590 9.523
4.626 8.044 1.411
4.835 1.096 2.539
4.731 4.935 2.079
4.828 0.977 5.493
4.709 4.910 7.362
4.850 1.116 7.734
4.976 1.101 0.311
4.887 3.766 4.339
4.765 8.020 6.735
6.004 5.775 9.368
6.053 6.017 3.971